1.
DFT (GGA-PBE) results for an optimized crystal structure of Sm5Er4Tl.

Results
**Calculated density**: 8.088 Mg/m³
**Calculated total energy**: -41.951 eV/cell
**Fermi-level density of states**: 1.587 states/eV per atom
**Relative energy among the computed polymorphs**: 205 meV per atom

a = 7.9601 Å, b = 7.9601 Å, c = 7.9601 Å
α = 98.76°, β = 98.76°, γ = 134.07°
Last column: nearest neighbours and their distance in Å.
Fractional coordinates of all 10 atoms:
Sm 0.0000 0.0000 0.0000  1 Tl 2.91
Sm 0.4418 0.5285 0.6190  1 Tl 3.14, 3 Er 3.25-3.47, 1 Sm 3.50
Sm 0.5285 0.9095 0.0867  1 Tl 3.14, 3 Er 3.25-3.47, 1 Sm 3.50
Sm 0.8228 0.4418 0.9133  1 Tl 3.14, 3 Er 3.25-3.47, 1 Sm 3.50
Sm 0.9095 0.8228 0.3810  1 Tl 3.14, 3 Er 3.25-3.47, 1 Sm 3.50
Er 0.1327 0.5331 0.3047  1 Er 3.21, 4 Sm 3.25-3.52
Er 0.2284 0.8280 0.6953  1 Er 3.21, 4 Sm 3.25-3.52
Er 0.5331 0.2284 0.4004  1 Er 3.21, 4 Sm 3.25-3.52
Er 0.8280 0.1327 0.5996  1 Er 3.21, 4 Sm 3.25-3.52
Tl 0.4688 0.4688 0.0000  5 Sm 2.91-3.14

***

2.
DFT (GGA-PBE) results for an optimized crystal structure of SmEr5Tl5.

Results
**Calculated density**: 10.050 Mg/m³
**Calculated total energy**: -40.249 eV/cell
**Fermi-level density of states**: 0.849 states/eV per atom

a = 8.4861 Å, b = 8.4861 Å, c = 7.1299 Å
α = 98.51°, β = 98.51°, γ = 40.89°
Last column: nearest neighbours and their distance in Å.
Fractional coordinates of all 11 atoms:
Sm 0.0000 0.0000 0.0000  4 Tl 2.96-3.17
Er 0.0000 0.0000 0.5000  4 Tl 3.04-3.30
Er 0.3231 0.3231 0.0876  5 Tl 2.98-3.22
Er 0.3674 0.3674 0.5970  5 Tl 3.15-3.50
Er 0.6326 0.6326 0.4030  5 Tl 3.15-3.50
Er 0.6769 0.6769 0.9124  5 Tl 2.98-3.22
Tl 0.1716 0.1716 0.2935  4 Er 3.01-3.30, 1 Tl 3.15, 1 Sm 3.17
Tl 0.1763 0.1763 0.7375  5 Er 3.04-3.35, 1 Tl 3.15
Tl 0.5000 0.5000 0.0000  2 Sm 2.96, 4 Er 2.98-3.28
Tl 0.8237 0.8237 0.2625  5 Er 3.04-3.35, 1 Tl 3.15
Tl 0.8284 0.8284 0.7065  4 Er 3.01-3.30, 1 Tl 3.15, 1 Sm 3.17